Density functional theory data (PBE) for an optimized crystal structure of NpNi4H8.

Lattice parameters (Å, degrees): 5.7167 9.1804 9.2040 90.00 90.00 90.00
Space group Fmmm (No. 69)
One atom of each set of equivalent atoms:
Np 0.0000 0.0000 0.0000 [4 per cell]
Ni 0.2500 0.0000 0.2500 [8 per cell]
Ni 0.2500 0.2500 0.0000 [8 per cell]
H 0.2081 0.1275 0.3725 [32 per cell]

Values from the calculation:
- DFT total energy: -4.68 eV/atom

=====

Density functional theory data (PBE) for an optimized crystal structure of NpNi2H.

Lattice parameters (Å, degrees): 2.7343 2.7343 21.0289 90.00 90.00 120.00
Space group R-3m (No. 166, hexagonal axes)
One atom of each set of equivalent atoms:
Np 0.0000 0.0000 0.0000 [3 per cell]
Ni 0.0000 0.0000 0.2152 [6 per cell]
H 0.0000 0.0000 0.5000 [3 per cell]

Values from the calculation:
- DFT total energy: -6.84 eV/atom

=====

Density functional theory data (PBE) for an optimized crystal structure of Np3Ni8H.

Lattice parameters (Å, degrees): 4.9216 4.9216 24.1906 90.00 90.00 120.00
Space group R3m (No. 160, hexagonal axes)
One atom of each set of equivalent atoms:
Np 0.0000 0.0000 0.0000 [3 per cell]
Np 0.0000 0.0000 0.1288 [3 per cell]
Np 0.0000 0.0000 0.5138 [3 per cell]
Ni 0.0000 0.0000 0.3178 [3 per cell]
Ni 0.0000 0.0000 0.8193 [3 per cell]
Ni 0.0022 0.5011 0.0674 [9 per cell]
Ni 0.1675 0.3350 0.9031 [9 per cell]
H 0.0000 0.0000 0.6941 [3 per cell]

Values from the calculation:
- DFT total energy: -7.43 eV/atom